No. 1
First-principles (PBE) data for a relaxed K2Sb2Ru crystal, as listed in the Alexandria database.

abc: 6.965 6.965 5.888
angles: 90.00 90.00 90.00
Fractional positions:
1 Sb 0.350 0.850 0.000
2 Sb 0.850 0.650 0.000
3 Sb 0.650 0.150 0.000
4 Sb 0.150 0.350 0.000
5 K 0.175 0.675 0.500
6 K 0.675 0.825 0.500
7 K 0.825 0.325 0.500
8 K 0.325 0.175 0.500
9 Ru 0.000 0.000 0.000
10 Ru 0.500 0.500 0.000

Computed properties:
- total magnetic moment (μB per formula unit) = 0.000
- ΔE_f (raw) (kJ per mole of atoms) = -14.8
- volume (Å³/cell) = 285.6
- space group = No. 127



No. 2
First-principles (PBE) data for a relaxed K2Sb2Ru crystal, as listed in the Alexandria database.

abc: 10.070 10.070 3.105
angles: 90.00 90.00 90.00
Fractional positions:
1 Sb 0.183 0.683 0.500
2 Sb 0.683 0.817 0.500
3 Sb 0.817 0.317 0.500
4 Sb 0.317 0.183 0.500
5 K 0.384 0.884 0.000
6 K 0.884 0.616 0.000
7 K 0.616 0.116 0.000
8 K 0.116 0.384 0.000
9 Ru 0.000 0.000 0.000
10 Ru 0.500 0.500 0.000

Computed properties:
- total magnetic moment (μB per formula unit) = 3.044
- ΔE_f (raw) (kJ per mole of atoms) = 77.9
- volume (Å³/cell) = 314.8
- space group = No. 127



No. 3
First-principles (PBE) data for a relaxed KSbRu2 crystal, as listed in the Alexandria database.

abc: 4.894 4.894 9.903
angles: 75.69 75.69 90.00
Fractional positions:
1 Sb 0.000 0.000 0.000
2 Sb 0.750 0.250 0.500
3 K 0.500 0.500 0.000
4 K 0.250 0.750 0.500
5 Ru 0.861 0.125 0.250
6 Ru 0.889 0.625 0.250
7 Ru 0.375 0.139 0.750
8 Ru 0.875 0.111 0.750

Computed properties:
- total magnetic moment (μB per formula unit) = 0.000
- ΔE_f (raw) (kJ per mole of atoms) = 70.6
- volume (Å³/cell) = 222.2
- space group = No. 122



No. 4
First-principles (PBE) data for a relaxed KSbRu2 crystal, as listed in the Alexandria database.

abc: 4.518 4.518 7.391
angles: 82.24 82.24 41.06
Fractional positions:
1 K 0.746 0.746 0.770
2 Ru 0.983 0.983 0.115
3 Ru 0.251 0.251 0.211
4 Sb 0.520 0.520 0.403

Computed properties:
- total magnetic moment (μB per formula unit) = 0.000
- ΔE_f (raw) (kJ per mole of atoms) = 36.5
- volume (Å³/cell) = 98.1
- space group = No. 8